The following is a DFT calculation (PBE-GGA) of Sr2IrBr after structural relaxation.

Calculated values
**Calculated total energy**: -4.0793 eV/atom
**Relative energy among the computed polymorphs**: 203 meV/atom
**ΔE_f (raw)**: -0.60 eV/atom
**Total magnetization**: 0.00 Bohr magnetons per cell

Geometry as CIF:
```
data_Sr2IrBr
_chemical_formula_sum 'Sr8 Ir4 Br4'
_cell_length_a 7.517
_cell_length_b 7.517
_cell_length_c 7.517
_cell_angle_alpha 90.00
_cell_angle_beta 90.00
_cell_angle_gamma 90.00
_space_group_name_H-M_alt 'F m -3 m'
_space_group_IT_number 225
_space_group_name_Hall '-F 4 2 3'
loop_
_atom_site_label
_atom_site_type_symbol
_atom_site_fract_x
_atom_site_fract_y
_atom_site_fract_z
Sr1 Sr 0.250 0.250 0.250
Ir1 Ir 0.000 0.000 0.000
Br1 Br 0.000 0.000 0.500
```